[1]
Compound: Ac3MgSc2O9
Source: the Alexandria database
Functional: PBE
Structure: optimized geometry

Unit cell a=5.7750 b=5.7750 c=7.1083 alpha=90.00 beta=90.00 gamma=120.00
With the nearest neighbours (Å) after each atom.
Space group P-3m1 (No. 164)
Asymmetric unit:
1 Ac 0.0000 0.0000 0.0000 [1 per cell]  12 O 2.89-2.91
2 Ac 0.3333 0.6667 0.6558 [2 per cell]  12 O 2.82-2.96
3 Mg 0.0000 0.0000 0.5000 [1 per cell]  6 O 2.03
4 Sc 0.3333 0.6667 0.1689 [2 per cell]  6 O 2.05
5 O 0.0000 0.5000 0.0000 [3 per cell]  2 Sc 2.05
6 O 0.1659 0.3319 0.3359 [6 per cell]  1 Mg 2.03, 1 Sc 2.05

Energy relative to the elements, uncorrected, kJ/mol of atoms: -302.5
E_tot, eV/atom: -7.882
DOS(E_F), states/eV/f.u.: 13.6

[2]
Compound: Ac3Mg2ScO9
Source: the Alexandria database
Functional: PBE
Structure: optimized geometry

Unit cell a=5.7243 b=5.7243 c=7.0485 alpha=90.00 beta=90.00 gamma=120.00
With the nearest neighbours (Å) after each atom.
Space group P-3m1 (No. 164)
Asymmetric unit:
1 Ac 0.0000 0.0000 0.0000 [1 per cell]  12 O 2.85-2.86
2 Ac 0.3333 0.6667 0.6802 [2 per cell]  12 O 2.79-2.97
3 Mg 0.3333 0.6667 0.1671 [2 per cell]  6 O 2.01-2.03
4 Sc 0.0000 0.0000 0.5000 [1 per cell]  6 O 2.05
5 O 0.0000 0.5000 0.0000 [3 per cell]  2 Mg 2.03
6 O 0.1672 0.3343 0.3292 [6 per cell]  1 Mg 2.01, 1 Sc 2.05

Energy relative to the elements, uncorrected, kJ/mol of atoms: -276.0
E_tot, eV/atom: -7.292
DOS(E_F), states/eV/f.u.: 12.6

[3]
Compound: AcMgSnO
Source: the Alexandria database
Functional: PBE
Structure: optimized geometry

Unit cell a=4.3178 b=4.3178 c=10.9196 alpha=90.00 beta=90.00 gamma=90.00
With the nearest neighbours (Å) after each atom.
Space group P4/nmm (No. 129, origin choice 2)
Asymmetric unit:
1 Ac 0.2500 0.2500 0.1134 [2 per cell]  4 O 2.49
2 Mg 0.2500 0.7500 0.5000 [2 per cell]  4 Sn 2.98, 4 Mg 3.05
3 Sn 0.2500 0.2500 0.6876 [2 per cell]  4 Mg 2.98
4 O 0.2500 0.7500 0.0000 [2 per cell]  4 Ac 2.49

Energy relative to the elements, uncorrected, kJ/mol of atoms: -157.3
E_tot, eV/atom: -5.297
DOS(E_F), states/eV/f.u.: 1.4

[4]
Compound: Ac3Mg2SnO9
Source: the Alexandria database
Functional: PBE
Structure: optimized geometry

Unit cell a=5.7234 b=5.7234 c=7.1068 alpha=90.00 beta=90.00 gamma=120.00
With the nearest neighbours (Å) after each atom.
Space group P-3m1 (No. 164)
Asymmetric unit:
1 Ac 0.0000 0.0000 0.0000 [1 per cell]  12 O 2.86
2 Ac 0.3333 0.6667 0.6908 [2 per cell]  12 O 2.75-3.06
3 Mg 0.3333 0.6667 0.1702 [2 per cell]  6 O 2.01-2.05
4 Sn 0.0000 0.0000 0.5000 [1 per cell]  6 O 2.04
5 O 0.0000 0.5000 0.0000 [3 per cell]  2 Mg 2.05
6 O 0.1655 0.3310 0.3289 [6 per cell]  1 Mg 2.01, 1 Sn 2.04

Energy relative to the elements, uncorrected, kJ/mol of atoms: -258.5
E_tot, eV/atom: -6.955
DOS(E_F), states/eV/f.u.: 10.6

[5]
Compound: Sr3Ac3MgO8
Source: the Alexandria database
Functional: PBE
Structure: optimized geometry

Unit cell a=7.2634 b=7.2634 c=18.1527 alpha=90.00 beta=90.00 gamma=120.00
With the nearest neighbours (Å) after each atom.
Space group R-3m (No. 166, hexagonal axes)
Asymmetric unit:
1 Sr 0.0000 0.5000 0.0000 [9 per cell]  6 O 2.54-2.64
2 Ac 0.0000 0.5000 0.5000 [9 per cell]  6 O 2.57-2.63
3 Mg 0.0000 0.0000 0.5000 [3 per cell]  6 O 2.27
4 O 0.0000 0.0000 0.2542 [6 per cell]  3 Sr 2.54, 3 Ac 2.63
5 O 0.0364 0.5182 0.2375 [18 per cell]  1 Mg 2.27

Energy relative to the elements, uncorrected, kJ/mol of atoms: -263.6
E_tot, eV/atom: -6.640
DOS(E_F), states/eV/f.u.: 2.9

[6]
Compound: Ac2MgTaO6
Source: the Alexandria database
Functional: PBE
Structure: optimized geometry

Unit cell a=5.7076 b=5.8011 c=8.1266 alpha=90.00 beta=90.00 gamma=90.00
With the nearest neighbours (Å) after each atom.
Space group Immm (No. 71)
Asymmetric unit:
1 Ac 0.0000 0.0000 0.2481 [4 per cell]  12 O 2.85-2.90
2 Mg 0.0000 0.5000 0.5000 [2 per cell]  6 O 2.04
3 Ta 0.0000 0.5000 0.0000 [2 per cell]  6 O 2.02
4 O 0.0000 0.5000 0.2490 [4 per cell]  1 Ta 2.02, 1 Mg 2.04
5 O 0.2466 0.2490 0.0000 [8 per cell]  1 Ta 2.02, 1 Mg 2.04

Energy relative to the elements, uncorrected, kJ/mol of atoms: -289.0
E_tot, eV/atom: -8.137
DOS(E_F), states/eV/f.u.: 4.3

[7]
Compound: Ac3Mg2TcO9
Source: the Alexandria database
Functional: PBE
Structure: optimized geometry

Unit cell a=5.6948 b=5.6948 c=6.9848 alpha=90.00 beta=90.00 gamma=120.00
With the nearest neighbours (Å) after each atom.
Space group P-3m1 (No. 164)
Asymmetric unit:
1 Ac 0.0000 0.0000 0.0000 [1 per cell]  12 O 2.83-2.85
2 Ac 0.3333 0.6667 0.7027 [2 per cell]  9 O 2.65-2.86
3 Mg 0.3333 0.6667 0.1678 [2 per cell]  6 O 2.02-2.06
4 Tc 0.0000 0.0000 0.5000 [1 per cell]  6 O 1.97
5 O 0.0000 0.5000 0.0000 [3 per cell]  2 Mg 2.02
6 O 0.1618 0.3235 0.3353 [6 per cell]  1 Tc 1.97, 1 Mg 2.06

Energy relative to the elements, uncorrected, kJ/mol of atoms: -264.9
E_tot, eV/atom: -7.445
DOS(E_F), states/eV/f.u.: 5.4

[8]
Compound: Ac2MgTcO6
Source: the Alexandria database
Functional: PBE
Structure: optimized geometry

Unit cell a=8.0722 b=8.0722 c=8.0722 alpha=90.00 beta=90.00 gamma=90.00
With the nearest neighbours (Å) after each atom.
Space group Fm-3m (No. 225)
Asymmetric unit:
1 Ac 0.2500 0.2500 0.2500 [8 per cell]  12 O 2.85
2 Mg 0.0000 0.0000 0.0000 [4 per cell]  6 O 2.03
3 Tc 0.0000 0.0000 0.5000 [4 per cell]  6 O 2.01
4 O 0.0000 0.0000 0.2511 [24 per cell]  1 Tc 2.01, 1 Mg 2.03

Energy relative to the elements, uncorrected, kJ/mol of atoms: -258.1
E_tot, eV/atom: -7.668

[9]
Compound: Ac2MgTcO8
Source: the Alexandria database
Functional: PBE
Structure: optimized geometry

Unit cell a=4.3333 b=5.6047 c=7.1080 alpha=86.07 beta=88.70 gamma=83.60
With the nearest neighbours (Å) after each atom.
Space group P-1 (No. 2)
Asymmetric unit:
1 Ac 0.2074 0.0190 0.2437 [2 per cell]  6 O 2.45-2.71
2 Mg 0.5000 0.5000 0.0000 [1 per cell]  4 O 1.98-2.07
3 Tc 0.5000 0.5000 0.5000 [1 per cell]  6 O 1.87-1.95
4 O 0.2214 0.7731 0.5565 [2 per cell]  1 Tc 1.90
5 O 0.2717 0.2812 0.6371 [2 per cell]  1 Tc 1.87
6 O 0.2903 0.4688 0.2642 [2 per cell]  1 Tc 1.95, 1 Mg 2.07
7 O 0.2905 0.8282 0.9437 [2 per cell]  1 Mg 1.98

Energy relative to the elements, uncorrected, kJ/mol of atoms: -211.7
E_tot, eV/atom: -7.181
DOS(E_F), states/eV/f.u.: 7.7

[10]
Compound: AcMgTc2O8
Source: the Alexandria database
Functional: PBE
Structure: optimized geometry

Unit cell a=5.7605 b=5.7605 c=6.9330 alpha=90.00 beta=90.00 gamma=120.00
With the nearest neighbours (Å) after each atom.
Space group P-3m1 (No. 164)
Asymmetric unit:
1 Ac 0.0000 0.0000 0.0000 [1 per cell]  6 O 2.60
2 Mg 0.0000 0.0000 0.5000 [1 per cell]  6 O 2.08
3 Tc 0.3333 0.6667 0.7609 [2 per cell]  4 O 1.80-1.82
4 O 0.1561 0.3122 0.6996 [6 per cell]  1 Tc 1.82
5 O 0.3333 0.6667 0.0207 [2 per cell]  1 Tc 1.80

Energy relative to the elements, uncorrected, kJ/mol of atoms: -188.5
E_tot, eV/atom: -7.463
DOS(E_F), states/eV/f.u.: 9.5